Here is a geometry-optimized SrZn3Sn structure from Alexandria via LeMat-Bulk. Energies are from GGA-PBE.

## Properties
ΔE_f in kJ/mol of formula units: 82
Space-group type: Pm-3m (221)
Fermi-level density of states in states/eV/f.u.: 3.0
Total magnetic moment in μB per cell: 0.0

Cell: 5.2734 5.2734 5.2734 Å, 90.00 90.00 90.00°
Closest atoms and distances in Å follow each position.
Fractional coordinates of all 5 atoms:
Sr1 0.0000 0.0000 0.0000  12 Zn 3.73
Zn1 0.0000 0.5000 0.5000  2 Sn 2.64
Zn2 0.5000 0.0000 0.5000  2 Sn 2.64
Zn3 0.5000 0.5000 0.0000  2 Sn 2.64
Sn1 0.5000 0.5000 0.5000  6 Zn 2.64

Here is a geometry-optimized CaSnF6 structure from Alexandria via LeMat-Bulk. Energies are from GGA-PBE.

## Properties
VASP energy in eV/atom: -5.24
Space-group type: Fm-3m (225)
Fermi-level density of states in states/eV/f.u.: 0.0
Total magnetic moment in μB per cell: 0.0

Cell: 6.0277 6.0277 6.0277 Å, 60.00 60.00 60.00°
Closest atoms and distances in Å follow each position.
Fractional coordinates of all 8 atoms:
Ca1 0.0000 0.0000 0.0000  6 F 2.26
Sn1 0.5000 0.5000 0.5000  6 F 2.00
F1 0.2657 0.2657 0.7343  1 Sn 2.00
F2 0.2657 0.7343 0.2657  1 Sn 2.00
F3 0.2657 0.7343 0.7343  1 Sn 2.00
F4 0.7343 0.2657 0.2657  1 Sn 2.00
F5 0.7343 0.2657 0.7343  1 Sn 2.00
F6 0.7343 0.7343 0.2657  1 Sn 2.00

Here is a geometry-optimized Zn2TeAs structure from Alexandria via LeMat-Bulk. Energies are from GGA-PBE.

## Properties
VASP energy in eV/atom: -2.29
Space-group type: Fm-3m (225)
Fermi-level density of states in states/eV/f.u.: 2.2
Total magnetic moment in μB per cell: 0.0

Cell: 4.8669 4.8669 4.8669 Å, 60.00 60.00 60.00°
Closest atoms and distances in Å follow each position.
Fractional coordinates of all 4 atoms:
Zn1 0.2500 0.2500 0.2500  4 As 2.98, 4 Te 2.98
Zn2 0.7500 0.7500 0.7500  4 As 2.98, 4 Te 2.98
Te1 0.0000 0.0000 0.0000  8 Zn 2.98
As1 0.5000 0.5000 0.5000  8 Zn 2.98

Here is a geometry-optimized Mn2CuBr structure from Alexandria via LeMat-Bulk. Energies are from GGA-PBE.

## Properties
VASP energy in eV/atom: -5.70
Space-group type: P4mm (99)
Fermi-level density of states in states/eV/f.u.: 1.1
Total magnetic moment in μB per cell: 7.8

Cell: 3.2652 3.2652 6.5965 Å, 90.00 90.00 90.00°
Closest atoms and distances in Å follow each position.
Fractional coordinates of all 4 atoms:
Mn1 0.0000 0.0000 0.0000  4 Cu 2.57, 4 Mn 2.77
Mn2 0.5000 0.5000 0.2318  1 Cu 2.65, 4 Mn 2.77, 4 Br 2.77
Cu1 0.5000 0.5000 0.8303  5 Mn 2.57-2.65
Br1 0.0000 0.0000 0.4648  5 Mn 2.77-3.07

Here is a geometry-optimized RuSe structure from Alexandria via LeMat-Bulk. Energies are from GGA-PBE.

## Properties
VASP energy in eV/atom: -6.32
Space-group type: I4/m (87)
Fermi-level density of states in states/eV/f.u.: 1.8
Total magnetic moment in μB per cell: 0.0

Cell: 7.4029 7.4029 7.4029 Å, 93.63 93.63 150.84°
Closest atoms and distances in Å follow each position.
Fractional coordinates of all 8 atoms:
Ru1 0.1549 0.7202 0.8751  4 Se 2.39-2.46
Ru2 0.2798 0.1549 0.4347  4 Se 2.39-2.46
Ru3 0.7202 0.8451 0.5653  4 Se 2.39-2.46
Ru4 0.8451 0.2798 0.1249  4 Se 2.39-2.46
Se1 0.0803 0.2935 0.3738  4 Ru 2.39-2.46
Se2 0.2935 0.9197 0.2132  4 Ru 2.39-2.46
Se3 0.7065 0.0803 0.7868  4 Ru 2.39-2.46
Se4 0.9197 0.7065 0.6262  4 Ru 2.39-2.46

Here is a geometry-optimized ZrSiAs2 structure from Alexandria via LeMat-Bulk. Energies are from GGA-PBE.

## Properties
VASP energy in eV/atom: -5.78
Space-group type: R3m (160)
Fermi-level density of states in states/eV/f.u.: 4.3
Total magnetic moment in μB per cell: 0.0

Cell: 10.2166 10.2166 10.2166 Å, 17.09 17.09 17.09°
Closest atoms and distances in Å follow each position.
Fractional coordinates of all 4 atoms:
Zr1 0.0000 0.0000 0.0000  3 Si 2.85, 3 As 2.91, 6 Zr 3.04
Si1 0.7410 0.7410 0.7410  3 As 2.73, 3 Zr 2.85, 6 Si 3.04
As1 0.2564 0.2564 0.2564  3 Zr 2.91, 6 As 3.04
As2 0.4772 0.4772 0.4772  3 Si 2.73, 6 As 3.04